1.
A plane-wave DFT calculation with GGA-PBE was carried out for a relaxed structure of Na4Zr3AuSe8.

abc: 7.9187 8.3653 7.9256
angles: 118.30 119.97 90.00
Last column: nearest neighbours and their distance in Å.
Element x y z (fractional)
Na1 0.5000 0.0000 0.5000  6 Se 2.99-3.04
Na2 0.5000 0.0000 0.0000  6 Se 2.94-2.95
Na3 0.0000 0.0000 0.0000  6 Se 2.99-3.03
Na4 0.0000 0.0000 0.5000  6 Se 2.99-3.04
Au1 0.0000 0.5000 0.0000  6 Se 2.83
Se1 0.7539 0.2784 0.0246  2 Zr 2.73, 1 Au 2.83, 3 Na 2.95-3.04
Se2 0.7534 0.2780 0.5067  2 Zr 2.73, 1 Au 2.83, 3 Na 2.94-3.04
Se3 0.2585 0.2754 0.5171  3 Zr 2.78, 3 Na 2.99
Se4 0.7415 0.7246 0.4829  3 Zr 2.78, 3 Na 2.99
Se5 0.2707 0.2784 0.0246  2 Zr 2.73, 1 Au 2.83, 3 Na 2.95-3.04
Se6 0.7293 0.7216 0.9754  2 Zr 2.73, 1 Au 2.83, 3 Na 2.95-3.04
Se7 0.2466 0.7220 0.4933  2 Zr 2.73, 1 Au 2.83, 3 Na 2.94-3.04
Se8 0.2461 0.7216 0.9754  2 Zr 2.73, 1 Au 2.83, 3 Na 2.95-3.04
Zr1 0.0000 0.5000 0.5000  6 Se 2.73-2.78
Zr2 0.5000 0.5000 0.5000  6 Se 2.73-2.78
Zr3 0.5000 0.5000 0.0000  6 Se 2.73-2.78

Calculated values
* N(E_F): 0.362 states/eV per atom
* space group: No. 12

---

2.
A plane-wave DFT calculation with GGA-PBE was carried out for a relaxed structure of Na2SiAu.

abc: 4.8963 4.8963 4.8963
angles: 60.00 60.00 60.00
Last column: nearest neighbours and their distance in Å.
Element x y z (fractional)
Si1 0.0000 0.0000 0.0000  8 Na 3.00
Au1 0.5000 0.5000 0.5000  8 Na 3.00
Na1 0.2500 0.2500 0.2500  4 Si 3.00, 4 Au 3.00
Na2 0.7500 0.7500 0.7500  4 Si 3.00, 4 Au 3.00

Calculated values
* N(E_F): 0.574 states/eV per atom
* space group: No. 225

---

3.
A plane-wave DFT calculation with GGA-PBE was carried out for a relaxed structure of Na2SiAu.

abc: 11.4480 11.4480 8.4144
angles: 47.14 47.14 90.00
Last column: nearest neighbours and their distance in Å.
Element x y z (fractional)
Na1 0.8748 0.6250 0.2500  2 Au 2.92
Na2 0.3750 0.1248 0.7500  2 Au 2.92
Na3 0.8750 0.1252 0.7500  2 Au 2.92
Na4 0.8752 0.1250 0.2500  2 Au 2.92
Si1 0.2500 0.7500 0.5000  2 Au 2.30
Si2 0.5000 0.5000 0.0000  2 Au 2.30
Au1 0.7500 0.2500 0.5000  2 Si 2.30
Au2 0.0000 0.0000 0.0000  2 Si 2.30

Calculated values
* N(E_F): 0.451 states/eV per atom
* space group: No. 141

---

4.
A plane-wave DFT calculation with GGA-PBE was carried out for a relaxed structure of Na2Si3Au5.

abc: 5.9404 8.7717 8.7717
angles: 70.60 70.21 70.21
Last column: nearest neighbours and their distance in Å.
Element x y z (fractional)
Si1 0.1403 0.2614 0.4580  5 Au 2.42-2.56
Si2 0.2500 0.0000 0.0000  4 Au 2.56
Si3 0.7500 0.0000 0.0000  4 Au 2.56
Si4 0.8597 0.7386 0.5420  5 Au 2.42-2.56
Si5 0.3597 0.5420 0.7386  5 Au 2.42-2.56
Si6 0.6403 0.4580 0.2614  5 Au 2.42-2.56
Au1 0.4762 0.7738 0.7738  2 Si 2.49
Au2 0.2500 0.5000 0.5000  4 Si 2.56
Au3 0.9139 0.9130 0.2591  3 Si 2.42-2.56
Au4 0.5238 0.2262 0.2262  2 Si 2.49
Au5 0.5861 0.7409 0.0870  3 Si 2.42-2.56
Au6 0.0861 0.0870 0.7409  3 Si 2.42-2.56
Au7 0.4139 0.2591 0.9130  3 Si 2.42-2.56
Au8 0.0238 0.2262 0.2262  2 Si 2.49
Au9 0.7500 0.5000 0.5000  4 Si 2.56
Au10 0.9762 0.7738 0.7738  2 Si 2.49
Na1 0.1444 0.5900 0.1212  9 Au 3.15-3.37, 4 Si 3.28-3.37
Na2 0.8556 0.4100 0.8788  9 Au 3.15-3.37, 4 Si 3.28-3.37
Na3 0.6444 0.1212 0.5900  9 Au 3.15-3.37, 4 Si 3.28-3.37
Na4 0.3556 0.8788 0.4100  9 Au 3.15-3.37, 4 Si 3.28-3.37

Calculated values
* N(E_F): 0.201 states/eV per atom
* space group: No. 72

---

5.
A plane-wave DFT calculation with GGA-PBE was carried out for a relaxed structure of Na4SiAu4.

abc: 5.5214 7.5217 5.5214
angles: 68.47 90.00 111.53
Last column: nearest neighbours and their distance in Å.
Element x y z (fractional)
Na1 0.9509 0.3575 0.0491  1 Si 2.91, 6 Au 3.00-3.25
Na2 0.4066 0.3575 0.5934  1 Si 2.91, 6 Au 3.00-3.25
Na3 0.0491 0.6425 0.4066  1 Si 2.91, 6 Au 3.00-3.25
Na4 0.5934 0.6425 0.9509  1 Si 2.91, 6 Au 3.00-3.25
Au1 0.6348 0.8578 0.3652  1 Si 2.47
Au2 0.3652 0.1422 0.2230  1 Si 2.47
Au3 0.2230 0.8578 0.7770  1 Si 2.47
Au4 0.7770 0.1422 0.6348  1 Si 2.47
Si1 0.0000 0.0000 0.0000  4 Au 2.47

Calculated values
* N(E_F): 0.124 states/eV per atom
* space group: No. 121

---

6.
A plane-wave DFT calculation with GGA-PBE was carried out for a relaxed structure of NaSiAu2.

abc: 3.8814 3.8814 7.0842
angles: 74.10 74.10 60.00
Last column: nearest neighbours and their distance in Å.
Element x y z (fractional)
Na1 0.5000 0.5000 0.5000  6 Au 3.10
Au1 0.2726 0.2726 0.1822  3 Si 2.55
Au2 0.7274 0.7274 0.8178  3 Si 2.55
Si1 0.0000 0.0000 0.0000  6 Au 2.55

Calculated values
* N(E_F): 0.323 states/eV per atom
* energy relative to the lowest polymorph listed for this composition: 0.88 eV/f.u.
* space group: No. 166

---

7.
A plane-wave DFT calculation with GGA-PBE was carried out for a relaxed structure of NaSiAu3.

abc: 4.3741 6.7883 7.0622
angles: 105.65 90.00 108.79
Last column: nearest neighbours and their distance in Å.
Element x y z (fractional)
Au1 0.7260 0.4519 0.3332  1 Si 2.52
Au2 0.9325 0.8651 0.6451  2 Si 2.51
Au3 0.0675 0.1349 0.3549  2 Si 2.51
Au4 0.6252 0.2504 0.6689  1 Si 2.46
Au5 0.2740 0.5481 0.6668  1 Si 2.52
Au6 0.3748 0.7496 0.3311  1 Si 2.46
Si1 0.5240 0.0479 0.1766  1 Si 2.39, 4 Au 2.46-2.52
Si2 0.4760 0.9521 0.8234  1 Si 2.39, 4 Au 2.46-2.52
Na1 0.8457 0.6914 0.0066  8 Au 3.06-3.19, 4 Si 3.15-3.24, 2 Na 3.27
Na2 0.1543 0.3086 0.9934  8 Au 3.06-3.19, 4 Si 3.15-3.24, 2 Na 3.27

Calculated values
* N(E_F): 0.297 states/eV per atom
* energy relative to the lowest polymorph listed for this composition: 0.48 eV/f.u.
* space group: No. 12

---

8.
A plane-wave DFT calculation with GGA-PBE was carried out for a relaxed structure of NaSiAu2.

abc: 5.8354 7.0219 7.5182
angles: 90.00 90.00 90.00
Last column: nearest neighbours and their distance in Å.
Element x y z (fractional)
Au1 0.0950 0.5485 0.8209  3 Si 2.49-2.75
Au2 0.9050 0.4515 0.1791  3 Si 2.49-2.75
Au3 0.5950 0.4515 0.6791  3 Si 2.49-2.75
Au4 0.5950 0.0485 0.6791  3 Si 2.49-2.75
Au5 0.9050 0.0485 0.1791  3 Si 2.49-2.75
Au6 0.4050 0.5485 0.3209  3 Si 2.49-2.75
Au7 0.0950 0.9515 0.8209  3 Si 2.49-2.75
Au8 0.4050 0.9515 0.3209  3 Si 2.49-2.75
Na1 0.8738 0.7500 0.4829  3 Si 3.01-3.13, 8 Au 3.04-3.31
Na2 0.1262 0.2500 0.5171  3 Si 3.01-3.13, 8 Au 3.04-3.31
Na3 0.6262 0.7500 0.9829  3 Si 3.01-3.13, 8 Au 3.04-3.31
Na4 0.3738 0.2500 0.0171  3 Si 3.01-3.13, 8 Au 3.04-3.31
Si1 0.3739 0.7500 0.6337  6 Au 2.49-2.75
Si2 0.6261 0.2500 0.3663  6 Au 2.49-2.75
Si3 0.1261 0.7500 0.1337  6 Au 2.49-2.75
Si4 0.8739 0.2500 0.8663  6 Au 2.49-2.75

Calculated values
* N(E_F): 0.247 states/eV per atom
* energy relative to the lowest polymorph listed for this composition: 0.00 eV/f.u.
* space group: No. 62

---

Values for formation energy from raw total energies, kJ/mol of atoms, ordered as above
-106.6; 18.1; -0.9; -19.0; -21.7; -3.7; -16.7; -24.8